(1)
Crystalline Ge3N4 at its relaxed geometry, computed with GGA-PBE.

Calculated values
- space group = P31c, No. 159
- formation energy (no corrections) (eV per atom) = -0.05
- relative energy among the computed polymorphs (eV/f.u.) = 0.00

POSCAR file:
```
Ge3N4
1.0
8.2931 0.0000 0.0000
-4.1466 7.1821 0.0000
0.0000 0.0000 5.9981
Ge N
12 16
direct
0.0858 0.8324 0.0233
0.5715 0.4888 0.2275
0.9173 0.4285 0.2275
0.7466 0.9142 0.0233
0.5112 0.0827 0.2275
0.0827 0.5112 0.7275
0.8324 0.0858 0.5233
0.2534 0.1676 0.5233
0.4285 0.9173 0.7275
0.9142 0.7466 0.5233
0.1676 0.2534 0.0233
0.4888 0.5715 0.7275
0.6564 0.6117 0.4997
0.3161 0.3203 0.7693
0.9553 0.3436 0.4997
0.0447 0.3883 0.9997
0.3203 0.3161 0.2693
0.3436 0.9553 0.9997
0.6839 0.0042 0.2693
0.6797 0.9958 0.7693
0.0000 0.0000 0.0248
0.3333 0.6667 0.6657
0.9958 0.6797 0.2693
0.6667 0.3333 0.1657
0.0042 0.6839 0.7693
0.6117 0.6564 0.9997
0.0000 0.0000 0.5248
0.3883 0.0447 0.4997
```

(2)
Crystalline RuPtBr2 at its relaxed geometry, computed with GGA-PBE.

Calculated values
- space group = R-3m, No. 166
- formation energy (no corrections) (eV per atom) = 0.75
- relative energy among the computed polymorphs (eV/f.u.) = 2.36

POSCAR file:
```
RuPtBr2
1.0
1.6571 0.0000 11.7972
-0.8286 1.4351 11.7972
-0.8286 -1.4351 11.7972
Pt Br Ru
1 2 1
direct
0.5000 0.5000 0.5000
0.0674 0.0674 0.0674
0.9326 0.9326 0.9326
0.0000 0.0000 0.0000
```

(3)
Crystalline Os2RuBr at its relaxed geometry, computed with GGA-PBE.

Calculated values
- space group = P4/mmm, No. 123
- formation energy (no corrections) (eV per atom) = 1.00
- relative energy among the computed polymorphs (eV/f.u.) = 1.11

POSCAR file:
```
Os2RuBr
1.0
-2.3375 1.4082 -0.7240
-1.5778 -2.1803 0.8532
-0.3689 3.0678 7.1577
Ru Os Br
1 2 1
direct
0.5000 0.5000 0.2500
0.0000 0.0000 0.0176
0.0000 0.0000 0.4824
0.5000 0.5000 0.7500
```

(4)
Crystalline PuTlSn2O8 at its relaxed geometry, computed with GGA-PBE.

Calculated values
- space group = P2/m, No. 10
- formation energy (no corrections) (eV per atom) = -1.70

POSCAR file:
```
PuTlSn2O8
1.0
5.0419 -0.0190 -0.0032
0.0197 5.0359 -0.0057
0.0043 0.0075 6.5865
Sn O Tl Pu
2 8 1 1
direct
0.5000 0.5000 0.2499
0.5000 0.5000 0.7501
0.3181 0.3154 0.5000
0.6862 0.6890 0.0000
0.7969 0.2060 0.2312
0.2031 0.7941 0.2312
0.2031 0.7940 0.7688
0.6819 0.6846 0.5000
0.7969 0.2059 0.7688
0.3138 0.3110 0.0000
0.0000 0.0000 0.5000
0.0000 0.0000 0.0000
```

(5)
Crystalline Tm6Mg5Tl at its relaxed geometry, computed with GGA-PBE.

Calculated values
- space group = Cmmm, No. 65
- relative energy among the computed polymorphs (eV/f.u.) = 0.00
- formation energy from the elements (meV per atom) = -116

POSCAR file:
```
Tm6Mg5Tl
1.0
5.0249 -0.0301 1.6746
0.0402 7.4627 0.0134
-0.0089 -0.0151 8.4029
Mg Tm Tl
5 6 1
direct
0.6670 0.5000 0.6661
0.6712 0.0000 0.6575
0.0000 0.5000 0.0000
0.3330 0.5000 0.3339
0.3288 0.0000 0.3425
0.1669 0.7478 0.6661
0.5000 0.2517 0.0000
0.8331 0.7478 0.3339
0.8331 0.2522 0.3339
0.5000 0.7483 0.0000
0.1669 0.2522 0.6661
0.0000 0.0000 0.0000
```

(6)
Crystalline Pr8Ir3SI3 at its relaxed geometry, computed with GGA-PBE.

Calculated values
- space group = R-3m, No. 166
- formation energy (no corrections) (eV per atom) = -0.94

POSCAR file:
```
Pr8Ir3SI3
1.0
-8.3603 -1.4351 -1.0691
4.8595 -5.8084 3.9645
-1.9352 7.8341 4.6352
Pr Ir I S
8 3 3 1
direct
0.2704 0.5409 0.3115
0.2375 0.4751 0.6921
0.7296 0.4591 0.6885
0.2375 0.9546 0.6919
0.7169 0.9544 0.6918
0.7625 0.5249 0.3079
0.7625 0.0454 0.3081
0.2831 0.0456 0.3082
0.5000 0.0000 0.5000
0.0000 0.5000 0.5000
0.5000 0.5000 0.5000
0.5000 0.5000 0.0000
0.0000 0.5000 0.0000
0.0000 0.0000 0.0000
0.0000 0.0000 0.5000
```

(7)
Crystalline TiTl2SbS4 at its relaxed geometry, computed with GGA-PBE.

Calculated values
- space group = Pmn2_1, No. 31
- formation energy (no corrections) (eV per atom) = -0.56

POSCAR file:
```
TiTl2SbS4
1.0
6.2159 0.0000 0.0000
0.0000 8.5538 0.0000
0.0000 0.0000 9.0889
Ti Sb S Tl
2 2 8 4
direct
0.5227 0.9124 0.5000
0.0227 0.0876 0.0000
0.4329 0.8161 0.0000
0.9329 0.1839 0.5000
0.9332 0.2340 0.1997
0.9003 0.9000 0.5000
0.4332 0.7660 0.3003
0.4003 0.1000 0.0000
0.4332 0.7660 0.6997
0.3821 0.1660 0.5000
0.9332 0.2340 0.8003
0.8821 0.8340 0.0000
0.9478 0.6491 0.7287
0.9478 0.6491 0.2713
0.4478 0.3509 0.2287
0.4478 0.3509 0.7713
```

(8)
Crystalline HSe2S at its relaxed geometry, computed with GGA-PBE.

Calculated values
- space group = Fm-3m, No. 225
- relative energy among the computed polymorphs (eV/f.u.) = 2.06

POSCAR file:
```
HSe2S
1.0
1.7352 -4.1305 0.1968
-1.5259 -3.2060 -2.7393
2.5812 -1.5093 -3.3421
S Se H
1 2 1
direct
0.5000 0.5000 0.5000
0.7500 0.7500 0.7500
0.2500 0.2500 0.2500
0.0000 0.0000 0.0000
```

| no. | M_tot (μB per cell) |
| --- | --- |
| 1 | 0.0 |
| 2 | 0.4 |
| 3 | 0.0 |
| 4 | 3.0 |
| 5 | 0.0 |
| 6 | 0.0 |
| 7 | 0.0 |
| 8 | 0.0 |